one | # YMo2Br

YMo2Br after structural relaxation (PBE-GGA, the Alexandria database).

Values from the calculation:
Space-group type   Cmmm, No. 65
Volume   80 Å³/f.u.
M_tot   0.0 Bohr magnetons per cell

The structure in POSCAR format:
```
YMo2Br
1.0
-0.801 5.257 1.616
-3.446 -4.143 1.359
1.644 -0.532 2.546
Y Mo Br
1 2 1
direct
0.500 0.000 0.500
0.000 0.000 0.000
0.500 0.500 0.000
0.000 0.500 0.500
```

two | # YMo2Br

YMo2Br after structural relaxation (PBE-GGA, the Alexandria database).

Values from the calculation:
Space-group type   Amm2, No. 38
Volume   85 Å³/f.u.
M_tot   0.0 Bohr magnetons per cell

The structure in POSCAR format:
```
YMo2Br
1.0
-2.841 0.574 -1.474
-1.620 -0.942 2.755
-0.674 6.907 3.988
Y Mo Br
1 2 1
direct
0.000 0.574 0.478
0.000 0.785 0.056
0.500 0.204 0.216
0.500 0.937 0.750
```

three | # YMo2Br

YMo2Br after structural relaxation (PBE-GGA, the Alexandria database).

Values from the calculation:
Space-group type   P4/mmm, No. 123
Volume   81 Å³/f.u.
M_tot   0.0 Bohr magnetons per cell

The structure in POSCAR format:
```
YMo2Br
1.0
3.744 0.000 0.000
0.000 3.744 0.000
0.000 0.000 5.780
Y Mo Br
1 2 1
direct
0.500 0.500 0.250
0.000 0.000 0.955
0.000 0.000 0.545
0.500 0.500 0.750
```

four | # YMo2Br

YMo2Br after structural relaxation (PBE-GGA, the Alexandria database).

Values from the calculation:
Space-group type   Cm, No. 8
Volume   103 Å³/f.u.
M_tot   0.0 Bohr magnetons per cell

The structure in POSCAR format:
```
YMo2Br
1.0
4.167 0.021 0.107
2.284 3.485 0.107
2.714 1.475 7.181
Y Mo Br
1 2 1
direct
0.497 0.497 0.539
0.003 0.003 0.877
0.703 0.703 0.817
0.297 0.297 0.267
```

Relative energies, unit kJ/mol of atoms: one 72.0; two 0.0; three 80.5; four 25.3

one | # YMo2Br

YMo2Br after structural relaxation (PBE-GGA, the Alexandria database).

Values from the calculation:
Space-group type   I-42d, No. 122
Volume   85 Å³/f.u.
M_tot   0.0 Bohr magnetons per cell

The structure in POSCAR format:
```
YMo2Br
1.0
-1.315 -3.149 1.735
0.591 -2.011 -3.203
10.424 -5.113 2.847
Y Mo Br
2 4 2
direct
0.000 0.000 0.000
0.750 0.250 0.500
0.657 0.125 0.250
0.093 0.625 0.250
0.375 0.343 0.750
0.875 0.907 0.750
0.500 0.500 0.000
0.250 0.750 0.500
```

two | # YMo2Br

YMo2Br after structural relaxation (PBE-GGA, the Alexandria database).

Values from the calculation:
Space-group type   Cmmm, No. 65
Volume   80 Å³/f.u.
M_tot   0.0 Bohr magnetons per cell

The structure in POSCAR format:
```
YMo2Br
1.0
-0.915 -1.470 2.479
-1.063 -1.412 -2.453
7.601 -5.218 -0.289
Y Mo Br
1 2 1
direct
0.500 0.500 0.250
0.000 0.000 0.984
0.000 0.000 0.516
0.500 0.500 0.750
```

three | # YMo2Br

YMo2Br after structural relaxation (PBE-GGA, the Alexandria database).

Values from the calculation:
Space-group type   I-4m2, No. 119
Volume   78 Å³/f.u.
M_tot   0.0 Bohr magnetons per cell

The structure in POSCAR format:
```
YMo2Br
1.0
-0.099 -4.854 -1.048
1.363 -1.835 4.410
-3.705 3.214 -0.785
Y Mo Br
1 2 1
direct
0.500 0.500 0.000
0.000 0.000 0.000
0.250 0.750 0.500
0.750 0.250 0.500
```

Relative energies, unit kJ/mol of atoms: one 0.0; two 33.4; three 18.9

one | # YMo2Br

YMo2Br after structural relaxation (PBE-GGA, the Alexandria database).

Values from the calculation:
Space-group type   C2/m, No. 12
Volume   89 Å³/f.u.
M_tot   0.0 Bohr magnetons per cell

The structure in POSCAR format:
```
YMo2Br
1.0
-2.472 -3.651 -4.135
-0.747 -5.636 -2.051
-3.495 0.183 3.068
Y Mo Br
1 2 1
direct
0.750 0.750 0.750
0.027 0.027 0.935
0.473 0.473 0.565
0.250 0.250 0.250
```

two | # YMo2Br

YMo2Br after structural relaxation (PBE-GGA, the Alexandria database).

Values from the calculation:
Space-group type   C2/m, No. 12
Volume   80 Å³/f.u.
M_tot   0.0 Bohr magnetons per cell

The structure in POSCAR format:
```
YMo2Br
1.0
6.167 0.004 -0.002
-1.585 4.126 0.001
0.875 0.340 3.150
Y Mo Br
1 2 1
direct
0.500 0.500 0.000
0.000 0.000 0.000
0.000 0.500 0.500
0.500 0.000 0.500
```

three | # YMo2Br

YMo2Br after structural relaxation (PBE-GGA, the Alexandria database).

Values from the calculation:
Space-group type   Fm-3m, No. 225
Volume   75 Å³/f.u.
M_tot   0.0 Bohr magnetons per cell

The structure in POSCAR format:
```
YMo2Br
1.0
-1.560 2.152 3.921
-1.656 4.432 -0.230
-4.629 0.831 0.563
Y Mo Br
1 2 1
direct
0.500 0.500 0.500
0.250 0.250 0.250
0.750 0.750 0.750
0.000 0.000 0.000
```

Relative energies, unit kJ/mol of atoms: one 0.0; two 13.7; three 81.8

one | # YMo2Br

YMo2Br after structural relaxation (PBE-GGA, the Alexandria database).

Values from the calculation:
Space-group type   R-3m, No. 166
Volume   80 Å³/f.u.
M_tot   0.6 Bohr magnetons per cell

The structure in POSCAR format:
```
YMo2Br
1.0
9.569 -0.010 -0.006
9.062 3.074 -0.006
9.062 1.490 2.689
Y Mo Br
1 2 1
direct
0.250 0.250 0.250
0.007 0.007 0.007
0.493 0.493 0.493
0.750 0.750 0.750
```

two | # YMo2Br

YMo2Br after structural relaxation (PBE-GGA, the Alexandria database).

Values from the calculation:
Space-group type   Imm2, No. 44
Volume   86 Å³/f.u.
M_tot   0.0 Bohr magnetons per cell

The structure in POSCAR format:
```
YMo2Br
1.0
-4.786 -0.051 2.915
0.236 -3.983 3.936
2.283 4.798 -1.783
Y Mo Br
1 2 1
direct
0.494 0.494 0.000
0.983 0.983 0.000
0.796 0.296 0.500
0.226 0.726 0.500
```

three | # YMo2Br

YMo2Br after structural relaxation (PBE-GGA, the Alexandria database).

Values from the calculation:
Space-group type   P2/m, No. 10
Volume   88 Å³/f.u.
M_tot   0.0 Bohr magnetons per cell

The structure in POSCAR format:
```
YMo2Br
1.0
-4.642 1.570 2.734
1.134 -1.453 2.760
2.061 4.104 1.143
Y Mo Br
1 2 1
direct
0.500 0.250 0.250
0.000 0.984 0.062
0.000 0.516 0.438
0.500 0.750 0.750
```

Relative energies, unit kJ/mol of atoms: one 46.2; two 7.2; three 0.0